Entry 1:
First-principles (PBEsol) data for a relaxed structure of Ba2SrIn, as listed in Alexandria.

Lattice parameters (Å, degrees): 4.245 4.245 10.242 90.00 90.00 90.00
Sites, in units of the cell vectors:
1 Ba 0.000 0.000 0.189
2 Ba 0.000 0.000 0.811
3 Sr 0.500 0.500 0.500
4 In 0.500 0.500 0.000

Results
Theoretical density: 4.3 g/cm³
E_tot: -2.51 eV/atom



Entry 2:
First-principles (PBEsol) data for a relaxed structure of BaInTc2, as listed in Alexandria.

Lattice parameters (Å, degrees): 7.043 7.043 7.043 34.74 34.74 34.74
Sites, in units of the cell vectors:
1 Ba 0.000 0.000 0.000
2 In 0.203 0.203 0.203
3 Tc 0.471 0.471 0.471
4 Tc 0.787 0.787 0.787

Results
Theoretical density: 7.3 g/cm³
E_tot: -6.66 eV/atom



Entry 3:
First-principles (PBEsol) data for a relaxed structure of BaInTc, as listed in Alexandria.

Lattice parameters (Å, degrees): 4.631 4.631 4.701 90.00 90.00 120.00
Sites, in units of the cell vectors:
1 Ba 0.000 0.000 0.000
2 In 0.333 0.667 0.500
3 Tc 0.667 0.333 0.500

Results
Theoretical density: 6.7 g/cm³
E_tot: -4.85 eV/atom



Entry 4:
First-principles (PBEsol) data for a relaxed structure of Ba2InTc, as listed in Alexandria.

Lattice parameters (Å, degrees): 3.493 3.493 9.824 90.00 90.00 90.00
Sites, in units of the cell vectors:
1 Ba 0.000 0.000 0.218
2 Ba 0.000 0.000 0.782
3 In 0.500 0.500 0.500
4 Tc 0.500 0.500 0.000

Results
Theoretical density: 6.8 g/cm³
E_tot: -4.03 eV/atom



Entry 5:
First-principles (PBEsol) data for a relaxed structure of BaInTc, as listed in Alexandria.

Lattice parameters (Å, degrees): 4.812 4.812 4.812 60.00 60.00 60.00
Sites, in units of the cell vectors:
1 Ba 0.000 0.000 0.000
2 In 0.500 0.500 0.500
3 Tc 0.250 0.250 0.250

Results
Theoretical density: 7.4 g/cm³
E_tot: -4.70 eV/atom



Entry 6:
First-principles (PBEsol) data for a relaxed structure of BaInTc2, as listed in Alexandria.

Lattice parameters (Å, degrees): 3.484 5.036 6.082 90.00 96.76 90.00
Sites, in units of the cell vectors:
1 Ba 0.000 0.000 0.000
2 In 0.500 0.000 0.500
3 Tc 0.277 0.500 0.621
4 Tc 0.723 0.500 0.379

Results
Theoretical density: 7.0 g/cm³
E_tot: -6.28 eV/atom



Entry 7:
First-principles (PBEsol) data for a relaxed structure of BaInTc2, as listed in Alexandria.

Lattice parameters (Å, degrees): 3.110 4.294 6.920 90.00 90.00 90.00
Sites, in units of the cell vectors:
1 Ba 0.000 0.000 0.000
2 In 0.000 0.000 0.500
3 Tc 0.500 0.500 0.344
4 Tc 0.500 0.500 0.656

Results
Theoretical density: 8.1 g/cm³
E_tot: -6.29 eV/atom



Entry 8:
First-principles (PBEsol) data for a relaxed structure of BaInTc2, as listed in Alexandria.

Lattice parameters (Å, degrees): 5.161 5.161 6.097 107.57 107.57 43.16
Sites, in units of the cell vectors:
1 Ba 0.000 0.000 0.000
2 In 0.500 0.500 0.500
3 Tc 0.242 0.242 0.603
4 Tc 0.758 0.758 0.397

Results
Theoretical density: 7.1 g/cm³
E_tot: -6.42 eV/atom



Entry 9:
First-principles (PBEsol) data for a relaxed structure of BaInTc, as listed in Alexandria.

Lattice parameters (Å, degrees): 3.463 3.463 7.265 90.00 90.00 120.00
Sites, in units of the cell vectors:
1 Ba 0.000 0.000 0.000
2 In 0.333 0.667 0.580
3 Tc 0.667 0.333 0.325

Results
Theoretical density: 7.7 g/cm³
E_tot: -4.70 eV/atom



Entry 10:
First-principles (PBEsol) data for a relaxed structure of Ba2InTc, as listed in Alexandria.

Lattice parameters (Å, degrees): 3.652 3.652 10.728 99.18 99.18 59.06
Sites, in units of the cell vectors:
1 Ba 0.239 0.239 0.212
2 Ba 0.761 0.761 0.788
3 In 0.000 0.000 0.500
4 Tc 0.500 0.500 0.000

Results
Theoretical density: 6.7 g/cm³
E_tot: -3.89 eV/atom



Entry 11:
First-principles (PBEsol) data for a relaxed structure of BaIn2Te4, as listed in Alexandria.

Lattice parameters (Å, degrees): 6.956 6.956 6.956 104.76 104.76 119.36
Sites, in units of the cell vectors:
1 Ba 0.000 0.000 0.000
2 In 0.000 0.500 0.500
3 In 0.500 0.000 0.500
4 Te 0.067 0.567 0.133
5 Te 0.433 0.933 0.867
6 Te 0.567 0.433 0.500
7 Te 0.933 0.067 0.500

Results
Formation energy (no corrections): -495 kJ/mol of formula units
Theoretical density: 5.8 g/cm³
E_tot: -3.91 eV/atom



Entry 12:
First-principles (PBEsol) data for a relaxed structure of BaIn2Te4, as listed in Alexandria.

Lattice parameters (Å, degrees): 6.958 6.958 12.093 90.00 90.00 118.74
Sites, in units of the cell vectors:
1 Ba 0.000 0.000 0.250
2 Ba 0.000 0.000 0.750
3 In 0.260 0.737 0.000
4 In 0.263 0.740 0.500
5 In 0.737 0.260 0.500
6 In 0.740 0.263 0.000
7 Te 0.000 0.500 0.182
8 Te 0.000 0.500 0.818
9 Te 0.164 0.301 0.500
10 Te 0.301 0.164 0.000
11 Te 0.500 0.000 0.318
12 Te 0.500 0.000 0.682
13 Te 0.699 0.836 0.000
14 Te 0.836 0.699 0.500

Results
Formation energy (no corrections): -502 kJ/mol of formula units
Theoretical density: 5.7 g/cm³
E_tot: -3.92 eV/atom



Entry 13:
First-principles (PBEsol) data for a relaxed structure of BaIn3Te, as listed in Alexandria.

Lattice parameters (Å, degrees): 5.749 5.749 5.749 90.00 90.00 90.00
Sites, in units of the cell vectors:
1 Ba 0.000 0.000 0.000
2 In 0.000 0.500 0.500
3 In 0.500 0.000 0.500
4 In 0.500 0.500 0.000
5 Te 0.500 0.500 0.500

Results
Formation energy (no corrections): 67 kJ/mol of formula units
Theoretical density: 5.3 g/cm³
E_tot: -2.79 eV/atom



Entry 14:
First-principles (PBEsol) data for a relaxed structure of Ba2TlIn, as listed in Alexandria.

Lattice parameters (Å, degrees): 6.929 6.929 6.929 145.37 130.45 61.86
Sites, in units of the cell vectors:
1 Ba 0.000 0.000 0.000
2 Ba 0.695 0.195 0.500
3 Tl 0.256 0.756 0.500
4 In 0.436 0.436 0.000

Results
Theoretical density: 6.9 g/cm³
E_tot: -2.87 eV/atom



Entry 15:
First-principles (PBEsol) data for a relaxed structure of BaTlIn, as listed in Alexandria.

Lattice parameters (Å, degrees): 5.196 5.196 4.210 90.00 90.00 120.00
Sites, in units of the cell vectors:
1 Ba 0.000 0.000 0.000
2 Tl 0.667 0.333 0.449
3 In 0.333 0.667 0.540

Results
Theoretical density: 7.7 g/cm³
E_tot: -2.99 eV/atom



Entry 16:
First-principles (PBEsol) data for a relaxed structure of BaTlIn4, as listed in Alexandria.

Lattice parameters (Å, degrees): 6.258 6.258 6.258 60.00 60.00 60.00
Sites, in units of the cell vectors:
1 Ba 0.000 0.000 0.000
2 Tl 0.750 0.750 0.750
3 In 0.376 0.376 0.376
4 In 0.376 0.376 0.873
5 In 0.376 0.873 0.376
6 In 0.873 0.376 0.376

Results
Theoretical density: 7.7 g/cm³
E_tot: -3.01 eV/atom



Entry 17:
First-principles (PBEsol) data for a relaxed structure of BaTlIn2, as listed in Alexandria.

Lattice parameters (Å, degrees): 5.516 5.516 5.516 60.00 60.00 60.00
Sites, in units of the cell vectors:
1 Ba 0.000 0.000 0.000
2 Tl 0.750 0.750 0.750
3 In 0.250 0.250 0.250
4 In 0.500 0.500 0.500

Results
Theoretical density: 8.0 g/cm³
E_tot: -2.99 eV/atom



Entry 18:
First-principles (PBEsol) data for a relaxed structure of Ba2TlIn, as listed in Alexandria.

Lattice parameters (Å, degrees): 4.122 5.574 6.166 90.00 90.00 90.00
Sites, in units of the cell vectors:
1 Ba 0.000 0.000 0.000
2 Ba 0.000 0.500 0.397
3 Tl 0.500 0.000 0.531
4 In 0.500 0.500 0.867

Results
Theoretical density: 7.0 g/cm³
E_tot: -2.91 eV/atom



Entry 19:
First-principles (PBEsol) data for a relaxed structure of BaTlIn2, as listed in Alexandria.

Lattice parameters (Å, degrees): 4.966 4.966 6.660 111.93 111.93 60.22
Sites, in units of the cell vectors:
1 Ba 0.000 0.000 0.000
2 Tl 0.500 0.500 0.500
3 In 0.223 0.223 0.669
4 In 0.777 0.777 0.331

Results
Theoretical density: 7.4 g/cm³
E_tot: -2.97 eV/atom



Entry 20:
First-principles (PBEsol) data for a relaxed structure of Ba2TlIn, as listed in Alexandria.

Lattice parameters (Å, degrees): 4.186 4.186 8.397 90.00 90.00 90.00
Sites, in units of the cell vectors:
1 Ba 0.000 0.000 0.248
2 Ba 0.000 0.000 0.752
3 Tl 0.500 0.500 0.500
4 In 0.500 0.500 0.000

Results
Theoretical density: 6.7 g/cm³
E_tot: -2.89 eV/atom